Density functional theory data (PBE-GGA) for crystalline AcYPd3 at its relaxed geometry.

electronic total energy: -6.0678 eV/atom

Cell lengths 3.972, 27.222, 4.418 Å; angles 90.00, 90.00, 90.00 degrees
Space group Cmcm (No. 63)
Asymmetric unit:
Ac (0.000, 0.074, 0.250) (multiplicity 4)
Y (0.000, 0.207, 0.750) (multiplicity 4)
Pd (0.000, 0.312, 0.750) (multiplicity 4)
Pd (0.000, 0.372, 0.250) (multiplicity 4)
Pd (0.000, 0.471, 0.250) (multiplicity 4)